[1]
! meta-GGA SCAN Cu7Si, PBEsol geometry; values from VASP
&SYSTEM
  ibrav = 0, nat = 8, ntyp = 2
/
ATOMIC_SPECIES
Cu 63.55 Cu.upf
Si 28.09 Si.upf
CELL_PARAMETERS angstrom
0.0000 3.5687 3.5687
3.5687 0.0000 3.5687
3.5687 3.5687 0.0000
ATOMIC_POSITIONS angstrom
Cu 0.0000 0.0000 0.0000
Cu 1.7843 1.7843 0.0000
Cu 1.7843 0.0000 1.7843
Cu 3.5687 1.7843 1.7843
Cu 0.0000 1.7843 1.7843
Cu 1.7843 3.5687 1.7843
Cu 1.7843 1.7843 3.5687
Si 3.5687 3.5687 3.5687
! Energy relative to the elements, uncorrected   -0.053 eV per atom
! Energy   -116.83 eV/f.u.
! SG   Fm-3m

=====

[2]
! meta-GGA SCAN Cu5Si, PBEsol geometry; values from VASP
&SYSTEM
  ibrav = 0, nat = 12, ntyp = 2
/
ATOMIC_SPECIES
Cu 63.55 Cu.upf
Si 28.09 Si.upf
CELL_PARAMETERS angstrom
3.6251 0.0000 0.0000
0.0000 10.3376 0.0000
0.0000 0.0000 3.6569
ATOMIC_POSITIONS angstrom
Cu 0.0000 0.0000 0.0000
Cu 0.0000 1.6874 1.8284
Cu 0.0000 3.4492 0.0000
Cu 0.0000 6.8885 0.0000
Cu 0.0000 8.6502 1.8284
Cu 1.8125 1.7197 0.0000
Cu 1.8125 3.4814 1.8284
Cu 1.8125 5.1688 0.0000
Cu 1.8125 6.8563 1.8284
Cu 1.8125 8.6180 0.0000
Si 0.0000 5.1688 1.8284
Si 1.8125 0.0000 1.8284
! Energy relative to the elements, uncorrected   -0.058 eV per atom
! Distance to the lowest polymorph of the same formula   11 meV/atom
! Energy   -86.36 eV/f.u.
! SG   Cmmm

=====

[3]
! meta-GGA SCAN Cu2Si, PBEsol geometry; values from VASP
&SYSTEM
  ibrav = 0, nat = 12, ntyp = 2
/
ATOMIC_SPECIES
Cu 63.55 Cu.upf
Si 28.09 Si.upf
CELL_PARAMETERS angstrom
9.1626 0.0000 0.0000
0.0000 2.6758 0.0000
-1.1011 0.0000 5.8511
ATOMIC_POSITIONS angstrom
Cu 0.0000 0.0000 0.0000
Cu -0.0321 0.0000 3.4870
Cu 1.4026 1.3379 1.7845
Cu 2.4297 0.0000 3.8794
Cu 4.5813 1.3379 0.0000
Cu 4.5492 1.3379 3.4870
Cu 5.9838 0.0000 1.7845
Cu 7.0110 1.3379 3.8794
Si 0.9782 1.3379 5.2895
Si 3.4730 0.0000 1.7209
Si 5.5595 0.0000 5.2895
Si 8.0543 1.3379 1.7209
! Energy relative to the elements, uncorrected   0.027 eV per atom
! Energy   -40.33 eV/f.u.
! SG   Cm

=====

[4]
! meta-GGA SCAN Cu2Si, PBEsol geometry; values from VASP
&SYSTEM
  ibrav = 0, nat = 12, ntyp = 2
/
ATOMIC_SPECIES
Cu 63.55 Cu.upf
Si 28.09 Si.upf
CELL_PARAMETERS angstrom
-1.8048 1.8048 10.8633
1.8048 -1.8048 10.8633
1.8048 1.8048 -10.8633
ATOMIC_POSITIONS angstrom
Cu 1.8048 0.9024 -2.7068
Cu 1.8048 0.9024 0.8823
Cu 0.0000 0.9024 2.7249
Cu 1.8048 0.9024 4.5494
Cu 0.0000 0.9024 6.3139
Cu 1.8048 0.9024 8.1384
Cu 0.0000 0.9024 9.9810
Cu 0.0000 0.9024 13.5701
Si 1.8048 -0.9024 6.3785
Si 1.8048 -0.9024 9.9165
Si 0.0000 2.7072 0.9468
Si 0.0000 2.7072 4.4848
! Energy relative to the elements, uncorrected   0.017 eV per atom
! Energy   -40.36 eV/f.u.
! SG   I4_1/amd